DFT (PBE) results for a geometry-optimized Pm3TlAu2 structure.

Properties
The total energy is -4.510 eV per atom. The value obtained for the energy of formation from the pure elements is -0.65 eV per atom. As for the theoretical density: 10.8 g/cm3.

Lattice parameters (Å, degrees): 3.6906 3.6906 11.6939 90.00 90.00 90.00
Fractional positions:
Pm: 0.0000 0.0000 0.0000
Pm: 0.0000 0.0000 0.3156
Pm: 0.0000 0.0000 0.6844
Tl: 0.5000 0.5000 0.5000
Au: 0.5000 0.5000 0.1608
Au: 0.5000 0.5000 0.8392